PuBeCo: optimized geometry, PBE-GGA. Values from VASP.

Computed properties:
The distance to the lowest polymorph of the same formula is 0.000 eV/atom. The energy of formation from the pure elements comes out at 4.58 kJ per mole of atoms.

Structure (Quantum ESPRESSO input):
```
&SYSTEM
  ibrav = 0, nat = 3, ntyp = 3
/
ATOMIC_SPECIES
Pu 244.00 Pu.upf
Be 9.01 Be.upf
Co 58.93 Co.upf
CELL_PARAMETERS angstrom
3.8424 0.0000 0.0000
-1.9212 3.3276 0.0000
0.0000 0.0000 3.6839
ATOMIC_POSITIONS crystal
Pu 0.0000 0.0000 0.0000
Be 0.6667 0.3333 0.5000
Co 0.3333 0.6667 0.5000
```